[1]
This record from Alexandria describes a relaxed structure of TaMoHRh2. The functional is PBE-GGA.

Symmetry: P4/mmm, No. 123
ΔE to the lowest computed polymorph (meV/atom): 40

Cell lengths 3.925, 3.925, 4.123 Å; angles 90.00, 90.00, 90.00 degrees
Fractional coordinates of all 5 atoms:
Ta 0.000 0.000 0.500
Rh 0.000 0.500 0.000
Mo 0.500 0.500 0.500
Rh 0.500 0.000 0.000
H 0.000 0.000 0.000

[2]
This record from Alexandria describes a relaxed structure of LiYCo2Ir. The functional is PBE-GGA.

Symmetry: P4/mmm, No. 123
Energy relative to the elements (meV/atom): 318

Cell lengths 4.140, 4.387, 4.140 Å; angles 90.00, 90.00, 90.00 degrees
Last column: magnetic moment on the atom in μB.
Fractional coordinates of all 5 atoms:
Li 0.000 0.000 0.000  -0.03
Ir 0.000 0.500 0.000  0.17
Co 0.000 0.000 0.500  1.55
Co 0.500 0.000 0.000  1.31
Y 0.500 0.500 0.500  -0.12

[3]
This record from Alexandria describes a relaxed structure of K2ScTlBr. The functional is PBE-GGA.

ΔE_f (raw) (eV/atom): 0.37
Symmetry: P4/mmm, No. 123

Cell lengths 6.773, 6.017, 6.773 Å; angles 90.00, 90.00, 90.00 degrees
Last column: magnetic moment on the atom in μB.
Fractional coordinates of all 5 atoms:
Br 0.000 0.500 0.000  0.01
Sc 0.500 0.500 0.500  0.90
K 0.000 0.000 0.500  0.01
Tl 0.000 0.000 0.000  0.02
K 0.500 0.000 0.000  0.01

[4]
This record from Alexandria describes a relaxed structure of MgCdIn2Ag5. The functional is PBE-GGA.

Symmetry: Cmc2_1, No. 36
Energy relative to the elements (meV/atom): -33

Cell lengths 3.048, 8.690, 13.804 Å; angles 90.00, 90.00, 100.10 degrees
Fractional coordinates of all 18 atoms:
In 0.129 0.258 0.653
In 0.119 0.237 0.325
Ag 0.287 0.574 0.311
Mg 0.729 0.458 0.485
Ag 0.699 0.399 0.156
Mg 0.271 0.542 0.985
Ag 0.531 0.063 0.794
Ag 0.046 0.091 0.134
Ag 0.469 0.937 0.294
Cd 0.386 0.772 0.475
In 0.881 0.763 0.825
Cd 0.614 0.228 0.975
Ag 0.713 0.426 0.811
Ag 0.554 0.108 0.492
Ag 0.301 0.601 0.656
Ag 0.954 0.909 0.634
Ag 0.446 0.892 0.992
In 0.871 0.742 0.153

[5]
This record from Alexandria describes a relaxed structure of KZrBe2. The functional is PBE-GGA.

Symmetry: R-3m, No. 166
Energy relative to the elements (meV/atom): 854
ΔE to the lowest computed polymorph (meV/atom): 396

Cell lengths 9.370, 9.370, 9.370 Å; angles 20.51, 20.51, 20.51 degrees
Fractional coordinates of all 4 atoms:
K 0.750 0.750 0.750
Zr 0.250 0.250 0.250
Be 0.515 0.515 0.515
Be 0.985 0.985 0.985

[6]
This record from Alexandria describes a relaxed structure of HoIn2Se4. The functional is PBE-GGA.

ΔE_f (raw) (eV/atom): -0.80
Symmetry: P-42m, No. 111

Cell lengths 6.120, 6.120, 6.302 Å; angles 90.00, 90.00, 90.00 degrees
Fractional coordinates of all 7 atoms:
Se 0.736 0.736 0.242
Se 0.736 0.264 0.758
Se 0.264 0.736 0.758
In 0.000 0.500 0.500
In 0.500 0.000 0.500
Ho 0.000 0.000 0.000
Se 0.264 0.264 0.242

[7]
This record from Alexandria describes a relaxed structure of Dy3Sc5Tl2. The functional is PBE-GGA.

Symmetry: Ibam, No. 72
Energy relative to the elements (meV/atom): -53

Cell lengths 6.442, 11.743, 11.743 Å; angles 39.08, 74.08, 74.08 degrees
Fractional coordinates of all 20 atoms:
Sc 0.726 0.092 0.456
Sc 0.418 0.832 0.832
Dy 0.250 0.000 0.000
Sc 0.918 0.832 0.832
Sc 0.750 0.500 0.500
Dy 0.373 0.465 0.790
Sc 0.582 0.168 0.168
Dy 0.750 0.000 0.000
Sc 0.774 0.544 0.908
Sc 0.250 0.500 0.500
Tl 0.915 0.351 0.819
Dy 0.873 0.790 0.465
Dy 0.627 0.535 0.210
Tl 0.085 0.649 0.181
Dy 0.127 0.210 0.535
Tl 0.585 0.181 0.649
Sc 0.226 0.456 0.092
Tl 0.415 0.819 0.351
Sc 0.082 0.168 0.168
Sc 0.274 0.908 0.544

[8]
This record from Alexandria describes a relaxed structure of FeMoP2. The functional is PBE-GGA.

Symmetry: C2/m, No. 12
Energy relative to the elements (meV/atom): -138

Cell lengths 3.805, 3.805, 5.047 Å; angles 78.60, 78.60, 46.00 degrees
Last column: magnetic moment on the atom in μB.
Fractional coordinates of all 4 atoms:
Fe 0.750 0.750 0.750  0.41
P 0.495 0.495 0.541  -0.01
Mo 0.250 0.250 0.250  0.04
P 0.005 0.005 0.959  -0.01

[9]
This record from Alexandria describes a relaxed structure of MgZn2In. The functional is PBE-GGA.

Symmetry: C2/m, No. 12
Energy relative to the elements (meV/atom): 25

Cell lengths 6.615, 5.171, 3.143 Å; angles 89.63, 62.29, 119.88 degrees
Fractional coordinates of all 4 atoms:
In 0.000 0.500 0.500
Zn 0.500 0.000 0.500
Mg 0.500 0.500 0.000
Zn 0.000 0.000 0.000

[10]
This record from Alexandria describes a relaxed structure of DyHgI6. The functional is PBE-GGA.

ΔE_f (raw) (eV/atom): -0.66
Symmetry: P-1, No. 2

Cell lengths 7.907, 7.837, 8.041 Å; angles 57.08, 64.58, 69.84 degrees
Last column: magnetic moment on the atom in μB.
Fractional coordinates of all 8 atoms:
Hg 0.000 0.000 0.000  0.00
I 0.272 0.894 0.297  0.06
I 0.448 0.674 0.779  0.25
I 0.087 0.387 0.757  0.01
I 0.728 0.106 0.703  0.06
I 0.913 0.613 0.243  0.01
I 0.552 0.326 0.221  0.25
Dy 0.500 0.500 0.500  0.00

| no. | M_tot (μB per formula unit) |
| --- | --- |
| 1 | 0.0 |
| 2 | 2.7 |
| 3 | 1.4 |
| 4 | 0.0 |
| 5 | 0.0 |
| 6 | 0.0 |
| 7 | 0.0 |
| 8 | 0.4 |
| 9 | 0.0 |
| 10 | 1.0 |